# GGA-PBE DyHo2Al, relaxed
# Polymorph energy (0 for the lowest one) ... 160 meV per atom
# Density of states at the Fermi level ... 6.7 states/eV/f.u.
data_DyHo2Al
_chemical_formula_sum 'Dy4 Ho8 Al4'
_cell_length_a 7.534
_cell_length_b 7.534
_cell_length_c 7.534
_cell_angle_alpha 90.00
_cell_angle_beta 90.00
_cell_angle_gamma 90.00
_symmetry_space_group_name_H-M 'F m -3 m'
_symmetry_Int_Tables_number 225
_symmetry_space_group_name_Hall '-F 4 2 3'
loop_
_atom_site_label
_atom_site_fract_x
_atom_site_fract_y
_atom_site_fract_z
_atom_site_occupancy
Dy1 0.000 0.000 0.000 1
Ho1 0.250 0.250 0.250 1
Al1 0.000 0.000 0.500 1



# GGA-PBE Dy7HoAl4, relaxed
# E_tot ... -104.8 eV for the cell shown
# Density of states at the Fermi level ... 13.7 states/eV/f.u.
data_Dy7HoAl4
_chemical_formula_sum 'Dy14 Ho2 Al8'
_cell_length_a 13.855
_cell_length_b 5.482
_cell_length_c 10.392
_cell_angle_alpha 90.00
_cell_angle_beta 124.49
_cell_angle_gamma 90.00
_symmetry_space_group_name_H-M 'C 1 2/m 1'
_symmetry_Int_Tables_number 12
loop_
_symmetry_equiv_pos_as_xyz
'x,y,z'
'-x,-y,-z'
'-x,y,-z'
'x,-y,z'
'x+1/2,y+1/2,z'
'-x+1/2,-y+1/2,-z'
'-x+1/2,y+1/2,-z'
'x+1/2,-y+1/2,z'
loop_
_atom_site_label
_atom_site_fract_x
_atom_site_fract_y
_atom_site_fract_z
_atom_site_occupancy
Dy1 0.000 0.000 0.000 1
Dy2 0.065 0.500 0.389 1
Dy3 0.205 0.000 0.648 1
Dy4 0.211 0.500 0.878 1
Ho1 0.000 0.500 0.000 1
Al1 0.054 0.000 0.762 1
Al2 0.176 0.000 0.332 1



# GGA-PBE Dy8HoAl2, relaxed
# Polymorph energy (0 for the lowest one) ... 114 meV per atom
# Density of states at the Fermi level ... 15.5 states/eV/f.u.
data_Dy8HoAl2
_chemical_formula_sum 'Dy16 Ho2 Al4'
_cell_length_a 8.771
_cell_length_b 14.621
_cell_length_c 5.561
_cell_angle_alpha 90.00
_cell_angle_beta 113.14
_cell_angle_gamma 90.00
_symmetry_space_group_name_H-M 'C 1 2/m 1'
_symmetry_Int_Tables_number 12
loop_
_symmetry_equiv_pos_as_xyz
'x,y,z'
'-x,-y,-z'
'-x,y,-z'
'x,-y,z'
'x+1/2,y+1/2,z'
'-x+1/2,-y+1/2,-z'
'-x+1/2,y+1/2,-z'
'x+1/2,-y+1/2,z'
loop_
_atom_site_label
_atom_site_fract_x
_atom_site_fract_y
_atom_site_fract_z
_atom_site_occupancy
Dy1 0.000 0.223 0.000 1
Dy2 0.097 0.500 0.796 1
Dy3 0.207 0.119 0.612 1
Ho1 0.000 0.000 0.000 1
Al1 0.000 0.308 0.500 1



# GGA-PBE Dy4HoAl4, relaxed
# E_tot ... -78.8 eV for the cell shown
# Density of states at the Fermi level ... 8.1 states/eV/f.u.
data_Dy4HoAl4
_chemical_formula_sum 'Dy8 Ho2 Al8'
_cell_length_a 8.802
_cell_length_b 8.802
_cell_length_c 5.791
_cell_angle_alpha 90.00
_cell_angle_beta 90.00
_cell_angle_gamma 90.00
_symmetry_space_group_name_H-M 'P 42/n'
_symmetry_Int_Tables_number 86
loop_
_symmetry_equiv_pos_as_xyz
'x,y,z'
'-x,-y,-z'
'-y,x+1/2,z+1/2'
'y,-x+1/2,-z+1/2'
'-x+1/2,-y+1/2,z'
'x+1/2,y+1/2,-z'
'y+1/2,-x,z+1/2'
'-y+1/2,x,-z+1/2'
loop_
_atom_site_label
_atom_site_fract_x
_atom_site_fract_y
_atom_site_fract_z
_atom_site_occupancy
Dy1 0.084 0.824 0.134 1
Ho1 0.250 0.250 0.750 1
Al1 0.056 0.155 0.349 1



# GGA-PBE Dy2HoAl, relaxed
# Polymorph energy (0 for the lowest one) ... 147 meV per atom
# Density of states at the Fermi level ... 6.4 states/eV/f.u.
data_Dy2HoAl
_chemical_formula_sum 'Dy8 Ho4 Al4'
_cell_length_a 7.544
_cell_length_b 7.544
_cell_length_c 7.544
_cell_angle_alpha 90.00
_cell_angle_beta 90.00
_cell_angle_gamma 90.00
_symmetry_space_group_name_H-M 'F m -3 m'
_symmetry_Int_Tables_number 225
_symmetry_space_group_name_Hall '-F 4 2 3'
loop_
_atom_site_label
_atom_site_fract_x
_atom_site_fract_y
_atom_site_fract_z
_atom_site_occupancy
Dy1 0.250 0.250 0.250 1
Ho1 0.000 0.000 0.000 1
Al1 0.000 0.000 0.500 1



# GGA-PBE DyHo4Al2, relaxed
# Polymorph energy (0 for the lowest one) ... 186 meV per atom
# Density of states at the Fermi level ... 9.2 states/eV/f.u.
data_DyHo4Al2
_chemical_formula_sum 'Dy3 Ho12 Al6'
_cell_length_a 5.0027
_cell_length_b 5.0027
_cell_length_c 30.0548
_cell_angle_alpha 90.00
_cell_angle_beta 90.00
_cell_angle_gamma 120.00
_symmetry_space_group_name_H-M 'R -3 m'
_symmetry_Int_Tables_number 166
_symmetry_space_group_name_Hall '-R 3 2"'
loop_
_atom_site_label
_atom_site_fract_x
_atom_site_fract_y
_atom_site_fract_z
_atom_site_occupancy
Dy1 0.0000 0.0000 0.0000 1
Ho1 0.0000 0.0000 0.2022 1
Ho2 0.0000 0.0000 0.3979 1
Al1 0.0000 0.0000 0.0998 1



# GGA-PBE DyHo3Al3, relaxed
# E_tot ... -125.7 eV for the cell shown
# Density of states at the Fermi level ... 3.8 states/eV/f.u.
data_DyHo3Al3
_chemical_formula_sum 'Dy4 Ho12 Al12'
_cell_length_a 10.169
_cell_length_b 10.205
_cell_length_c 6.905
_cell_angle_alpha 90.00
_cell_angle_beta 90.00
_cell_angle_gamma 90.00
_symmetry_space_group_name_H-M 'C m m m'
_symmetry_Int_Tables_number 65
_symmetry_space_group_name_Hall '-C 2 2'
loop_
_atom_site_label
_atom_site_fract_x
_atom_site_fract_y
_atom_site_fract_z
_atom_site_occupancy
Dy1 0.243 0.000 0.000 1
Ho1 0.000 0.244 0.500 1
Ho2 0.000 0.246 0.000 1
Ho3 0.243 0.000 0.500 1
Al1 0.000 0.500 0.252 1
Al2 0.250 0.250 0.251 1



# GGA-PBE Dy8Ho2Al, relaxed
# E_tot ... -100.3 eV for the cell shown
# Density of states at the Fermi level ... 13.8 states/eV/f.u.
data_Dy8Ho2Al
_chemical_formula_sum 'Dy16 Ho4 Al2'
_cell_length_a 19.058
_cell_length_b 5.458
_cell_length_c 6.412
_cell_angle_alpha 90.00
_cell_angle_beta 93.65
_cell_angle_gamma 90.00
_symmetry_space_group_name_H-M 'C 1 2/m 1'
_symmetry_Int_Tables_number 12
loop_
_symmetry_equiv_pos_as_xyz
'x,y,z'
'-x,-y,-z'
'-x,y,-z'
'x,-y,z'
'x+1/2,y+1/2,z'
'-x+1/2,-y+1/2,-z'
'-x+1/2,y+1/2,-z'
'x+1/2,-y+1/2,z'
loop_
_atom_site_label
_atom_site_fract_x
_atom_site_fract_y
_atom_site_fract_z
_atom_site_occupancy
Dy1 0.042 0.000 0.253 1
Dy2 0.079 0.500 0.602 1
Dy3 0.155 0.000 0.812 1
Dy4 0.158 0.500 0.121 1
Ho1 0.241 0.000 0.334 1
Al1 0.000 0.500 0.000 1



# GGA-PBE Dy2Ho3Al2, relaxed
# Polymorph energy (0 for the lowest one) ... 0 meV per atom
# Density of states at the Fermi level ... 5.6 states/eV/f.u.
data_Dy2Ho3Al2
_chemical_formula_sum 'Dy4 Ho6 Al4'
_cell_length_a 3.528
_cell_length_b 3.528
_cell_length_c 30.152
_cell_angle_alpha 90.00
_cell_angle_beta 90.00
_cell_angle_gamma 90.00
_symmetry_space_group_name_H-M 'I 4/m m m'
_symmetry_Int_Tables_number 139
_symmetry_space_group_name_Hall '-I 4 2'
loop_
_atom_site_label
_atom_site_fract_x
_atom_site_fract_y
_atom_site_fract_z
_atom_site_occupancy
Dy1 0.000 0.000 0.209 1
Ho1 0.000 0.000 0.376 1
Ho2 0.000 0.000 0.500 1
Al1 0.000 0.000 0.062 1



# GGA-PBE Dy12Ho5Al2, relaxed
# E_tot ... -170.4 eV for the cell shown
# Density of states at the Fermi level ... 27.6 states/eV/f.u.
data_Dy12Ho5Al2
_chemical_formula_sum 'Dy24 Ho10 Al4'
_cell_length_a 15.053
_cell_length_b 9.251
_cell_length_c 8.237
_cell_angle_alpha 90.00
_cell_angle_beta 92.72
_cell_angle_gamma 90.00
_symmetry_space_group_name_H-M 'C 1 2/m 1'
_symmetry_Int_Tables_number 12
loop_
_symmetry_equiv_pos_as_xyz
'x,y,z'
'-x,-y,-z'
'-x,y,-z'
'x,-y,z'
'x+1/2,y+1/2,z'
'-x+1/2,-y+1/2,-z'
'-x+1/2,y+1/2,-z'
'x+1/2,-y+1/2,z'
loop_
_atom_site_label
_atom_site_fract_x
_atom_site_fract_y
_atom_site_fract_z
_atom_site_occupancy
Dy1 0.053 0.000 0.321 1
Dy2 0.079 0.500 0.879 1
Dy3 0.126 0.196 0.672 1
Dy4 0.144 0.314 0.228 1
Ho1 0.000 0.500 0.500 1
Ho2 0.189 0.000 0.014 1
Ho3 0.232 0.500 0.574 1
Al1 0.000 0.170 0.000 1



# GGA-PBE Dy2Ho2Al, relaxed
# Polymorph energy (0 for the lowest one) ... 624 meV per atom
# Density of states at the Fermi level ... 6.0 states/eV/f.u.
data_Dy2Ho2Al
_chemical_formula_sum 'Dy6 Ho6 Al3'
_cell_length_a 4.9450
_cell_length_b 4.9450
_cell_length_c 25.4567
_cell_angle_alpha 90.00
_cell_angle_beta 90.00
_cell_angle_gamma 120.00
_symmetry_space_group_name_H-M 'R -3 m'
_symmetry_Int_Tables_number 166
_symmetry_space_group_name_Hall '-R 3 2"'
loop_
_atom_site_label
_atom_site_fract_x
_atom_site_fract_y
_atom_site_fract_z
_atom_site_occupancy
Dy1 0.0000 0.0000 0.0672 1
Ho1 0.0000 0.0000 0.1995 1
Al1 0.0000 0.0000 0.5000 1



# GGA-PBE Dy8HoAl2, relaxed
# Polymorph energy (0 for the lowest one) ... 0 meV per atom
# Density of states at the Fermi level ... 12.7 states/eV/f.u.
data_Dy8HoAl2
_chemical_formula_sum 'Dy16 Ho2 Al4'
_cell_length_a 16.394
_cell_length_b 5.170
_cell_length_c 8.191
_cell_angle_alpha 90.00
_cell_angle_beta 114.22
_cell_angle_gamma 90.00
_symmetry_space_group_name_H-M 'C 1 2/m 1'
_symmetry_Int_Tables_number 12
loop_
_symmetry_equiv_pos_as_xyz
'x,y,z'
'-x,-y,-z'
'-x,y,-z'
'x,-y,z'
'x+1/2,y+1/2,z'
'-x+1/2,-y+1/2,-z'
'-x+1/2,y+1/2,-z'
'x+1/2,-y+1/2,z'
loop_
_atom_site_label
_atom_site_fract_x
_atom_site_fract_y
_atom_site_fract_z
_atom_site_occupancy
Dy1 0.056 0.000 0.234 1
Dy2 0.110 0.500 0.971 1
Dy3 0.153 0.000 0.720 1
Dy4 0.188 0.500 0.452 1
Ho1 0.000 0.500 0.500 1
Al1 0.224 0.000 0.142 1



# GGA-PBE DyHo6Al, relaxed
# E_tot ... -106.4 eV for the cell shown
# Density of states at the Fermi level ... 10.6 states/eV/f.u.
data_DyHo6Al
_chemical_formula_sum 'Dy3 Ho18 Al3'
_cell_length_a 9.1100
_cell_length_b 9.1100
_cell_length_c 9.9791
_cell_angle_alpha 90.00
_cell_angle_beta 90.00
_cell_angle_gamma 120.00
_symmetry_space_group_name_H-M 'R -3'
_symmetry_Int_Tables_number 148
_symmetry_space_group_name_Hall '-R 3'
loop_
_atom_site_label
_atom_site_fract_x
_atom_site_fract_y
_atom_site_fract_z
_atom_site_occupancy
Dy1 0.0000 0.0000 0.0000 1
Ho1 0.0234 0.2523 0.7155 1
Al1 0.0000 0.0000 0.5000 1



# GGA-PBE LiDyHoAl, relaxed
# E_tot ... -62.7 eV for the cell shown
# Density of states at the Fermi level ... 3.7 states/eV/f.u.
data_LiDyHoAl
_chemical_formula_sum 'Li4 Dy4 Ho4 Al4'
_cell_length_a 7.268
_cell_length_b 7.268
_cell_length_c 7.268
_cell_angle_alpha 90.00
_cell_angle_beta 90.00
_cell_angle_gamma 90.00
_symmetry_space_group_name_H-M 'F -4 3 m'
_symmetry_Int_Tables_number 216
_symmetry_space_group_name_Hall 'F -4 2 3'
loop_
_atom_site_label
_atom_site_fract_x
_atom_site_fract_y
_atom_site_fract_z
_atom_site_occupancy
Li1 0.000 0.000 0.000 1
Dy1 0.250 0.250 0.250 1
Ho1 0.250 0.250 0.750 1
Al1 0.000 0.000 0.500 1



# GGA-PBE DyHoLuAl, relaxed
# E_tot ... -71.0 eV for the cell shown
# Density of states at the Fermi level ... 5.3 states/eV/f.u.
data_DyHoLuAl
_chemical_formula_sum 'Dy4 Ho4 Lu4 Al4'
_cell_length_a 7.492
_cell_length_b 7.492
_cell_length_c 7.492
_cell_angle_alpha 90.00
_cell_angle_beta 90.00
_cell_angle_gamma 90.00
_symmetry_space_group_name_H-M 'F -4 3 m'
_symmetry_Int_Tables_number 216
_symmetry_space_group_name_Hall 'F -4 2 3'
loop_
_atom_site_label
_atom_site_fract_x
_atom_site_fract_y
_atom_site_fract_z
_atom_site_occupancy
Dy1 0.000 0.000 0.000 1
Ho1 0.000 0.000 0.500 1
Lu1 0.250 0.250 0.750 1
Al1 0.250 0.250 0.250 1



# GGA-PBE DyHoMgAl, relaxed
# E_tot ... -62.4 eV for the cell shown
# Density of states at the Fermi level ... 2.2 states/eV/f.u.
data_DyHoMgAl
_chemical_formula_sum 'Dy4 Ho4 Mg4 Al4'
_cell_length_a 7.333
_cell_length_b 7.333
_cell_length_c 7.333
_cell_angle_alpha 90.00
_cell_angle_beta 90.00
_cell_angle_gamma 90.00
_symmetry_space_group_name_H-M 'F -4 3 m'
_symmetry_Int_Tables_number 216
_symmetry_space_group_name_Hall 'F -4 2 3'
loop_
_atom_site_label
_atom_site_fract_x
_atom_site_fract_y
_atom_site_fract_z
_atom_site_occupancy
Dy1 0.000 0.000 0.000 1
Ho1 0.000 0.000 0.500 1
Mg1 0.250 0.250 0.250 1
Al1 0.250 0.250 0.750 1



# GGA-PBE DyHoMnAl, relaxed
# E_tot ... -89.6 eV for the cell shown
# Density of states at the Fermi level ... 4.7 states/eV/f.u.
data_DyHoMnAl
_chemical_formula_sum 'Dy4 Ho4 Mn4 Al4'
_cell_length_a 7.161
_cell_length_b 7.161
_cell_length_c 7.161
_cell_angle_alpha 90.00
_cell_angle_beta 90.00
_cell_angle_gamma 90.00
_symmetry_space_group_name_H-M 'F -4 3 m'
_symmetry_Int_Tables_number 216
_symmetry_space_group_name_Hall 'F -4 2 3'
loop_
_atom_site_label
_atom_site_fract_x
_atom_site_fract_y
_atom_site_fract_z
_atom_site_occupancy
Dy1 0.000 0.000 0.000 1
Ho1 0.000 0.000 0.500 1
Mn1 0.250 0.250 0.750 1
Al1 0.250 0.250 0.250 1



# GGA-PBE NaDyHoAl, relaxed
# E_tot ... -57.5 eV for the cell shown
# Density of states at the Fermi level ... 4.2 states/eV/f.u.
data_NaDyHoAl
_chemical_formula_sum 'Na4 Dy4 Ho4 Al4'
_cell_length_a 7.457
_cell_length_b 7.457
_cell_length_c 7.457
_cell_angle_alpha 90.00
_cell_angle_beta 90.00
_cell_angle_gamma 90.00
_symmetry_space_group_name_H-M 'F -4 3 m'
_symmetry_Int_Tables_number 216
_symmetry_space_group_name_Hall 'F -4 2 3'
loop_
_atom_site_label
_atom_site_fract_x
_atom_site_fract_y
_atom_site_fract_z
_atom_site_occupancy
Na1 0.000 0.000 0.000 1
Dy1 0.250 0.250 0.750 1
Ho1 0.250 0.250 0.250 1
Al1 0.000 0.000 0.500 1



# GGA-PBE DyHo2AlO, relaxed
# Raw formation energy ... -1.37 eV per atom
# Density of states at the Fermi level ... 1.8 states/eV/f.u.
data_DyHo2AlO
_chemical_formula_sum 'Dy1 Ho2 Al1 O1'
_cell_length_a 4.696
_cell_length_b 4.696
_cell_length_c 4.728
_cell_angle_alpha 90.00
_cell_angle_beta 90.00
_cell_angle_gamma 90.00
_symmetry_space_group_name_H-M 'P 4/m m m'
_symmetry_Int_Tables_number 123
_symmetry_space_group_name_Hall '-P 4 2'
loop_
_atom_site_label
_atom_site_fract_x
_atom_site_fract_y
_atom_site_fract_z
_atom_site_occupancy
Dy1 0.000 0.000 0.000 1
Ho1 0.000 0.500 0.500 1
Al1 0.500 0.500 0.000 1
O1 0.000 0.000 0.500 1



# GGA-PBE DyHoAlOs, relaxed
# E_tot ... -101.1 eV for the cell shown
# Density of states at the Fermi level ... 1.6 states/eV/f.u.
data_DyHoAlOs
_chemical_formula_sum 'Dy4 Ho4 Al4 Os4'
_cell_length_a 6.971
_cell_length_b 6.971
_cell_length_c 6.971
_cell_angle_alpha 90.00
_cell_angle_beta 90.00
_cell_angle_gamma 90.00
_symmetry_space_group_name_H-M 'F -4 3 m'
_symmetry_Int_Tables_number 216
_symmetry_space_group_name_Hall 'F -4 2 3'
loop_
_atom_site_label
_atom_site_fract_x
_atom_site_fract_y
_atom_site_fract_z
_atom_site_occupancy
Dy1 0.000 0.000 0.000 1
Ho1 0.000 0.000 0.500 1
Al1 0.250 0.250 0.250 1
Os1 0.250 0.250 0.750 1